Crystalline GdAl5 at its relaxed geometry, computed with PBE.

**Volume**: 19.37 Å³ per atom
**E**: -4.09 eV/atom
**Spin magnetization**: 0.00 μB per formula unit

Lattice parameters (Å, degrees): 5.5316 5.5316 4.3848 90.00 90.00 120.00
Closest atoms and distances in Å follow each position.
Fractional positions:
Al: 0.0000 0.5000 0.5000  8 Al 2.71-2.77
Al: 0.6667 0.3333 0.0000  6 Al 2.71
Al: 0.3333 0.6667 0.0000  6 Al 2.71
Al: 0.5000 0.5000 0.5000  8 Al 2.71-2.77
Al: 0.5000 0.0000 0.5000  8 Al 2.71-2.77
Gd: 0.0000 0.0000 0.0000  18 Al 3.19-3.53